[1]
A geometry-optimized NbCo2Sn structure. Source: Alexandria, functional PBE-GGA.

Computed properties:
- Energy of formation: -0.14 eV/atom
- Crystal system: orthorhombic
- Space-group type: Pmma

extended XYZ file:
```
16
Lattice="-0.158 -1.227 4.328 -2.782 -4.989 -1.516 7.783 -4.076 -0.871" Properties=species:S:1:pos:R:3 pbc="T T T"
Nb 3.891 -2.038 -0.435
Nb 0.469 -4.179 1.373
Nb 0.000 0.000 0.000
Nb 4.374 -6.112 0.568
Co -0.159 -4.871 -1.005
Co -2.163 -4.351 1.028
Co 5.002 -5.421 2.946
Co 1.243 -2.356 -0.241
Co 3.600 -7.935 2.182
Co 3.114 -3.903 1.348
Co -0.777 -1.865 1.784
Co 1.728 -6.389 0.593
Sn 2.500 -4.532 -1.193
Sn -1.391 -2.494 -0.758
Sn 1.857 -1.709 2.215
Sn 5.768 -3.594 1.242
```

=====

[2]
A geometry-optimized K3Pm3HfSe8 structure. Source: Alexandria, functional PBE-GGA.

Computed properties:
- Energy: -5.3613 eV/atom
- Crystal system: trigonal
- Space-group type: R-3m

extended XYZ file:
```
15
Lattice="-6.609 2.277 -4.683 -0.826 -0.801 8.335 4.704 7.317 -3.080" Properties=species:S:1:pos:R:3 pbc="T T T"
Pm 1.939 3.258 2.627
Pm -1.366 4.397 0.286
Pm -0.952 4.797 -3.882
Se -1.919 6.498 -1.691
Se -0.201 2.749 -1.881
Se -2.530 6.044 2.452
Se -3.748 3.971 -4.395
Se -4.192 3.541 0.079
Se 1.017 4.822 4.966
Se 1.461 5.252 0.493
Se -0.812 2.296 2.262
Hf 2.352 3.659 -1.540
K 0.000 0.000 0.000
K -3.718 0.738 1.826
K -0.413 -0.401 4.167
```